ScBe2N: relaxed, GGA-PBE.

abc: 5.317 5.317 5.305
angles: 59.92 59.92 90.00
Fractional positions:
1 N 0.500 0.500 0.000
2 N 0.250 0.750 0.500
3 Be 0.346 0.625 0.250
4 Be 0.875 0.654 0.750
5 Be 0.375 0.596 0.750
6 Be 0.404 0.125 0.250
7 Sc 0.000 0.000 0.000
8 Sc 0.750 0.250 0.500

Computed properties:
SG = No. 122
V = 13.22 A^3/atom
total DFT energy (no corrections) = -44.45 eV for the cell shown
crystal system = tetragonal

=====

AgSb2Ru: relaxed, GGA-PBE.

abc: 4.870 4.870 4.870
angles: 60.00 60.00 60.00
Fractional positions:
1 Ru 0.750 0.750 0.750
2 Sb 0.250 0.250 0.250
3 Sb 0.000 0.000 0.000
4 Ag 0.500 0.500 0.500

Computed properties:
SG = No. 216
V = 20.42 A^3/atom
total DFT energy (no corrections) = -18.09 eV for the cell shown
crystal system = cubic

=====

Tl2GaSbO6: relaxed, GGA-PBE.

abc: 5.088 5.294 5.294
angles: 90.00 90.00 90.00
Fractional positions:
1 Tl 0.040 0.000 0.500
2 Tl 0.040 0.500 0.000
3 O 0.705 0.751 0.751
4 O 0.705 0.751 0.249
5 O 0.201 0.500 0.500
6 O 0.199 0.000 0.000
7 O 0.705 0.249 0.249
8 O 0.705 0.249 0.751
9 Ga 0.566 0.000 0.000
10 Sb 0.581 0.500 0.500

Computed properties:
SG = No. 99
V = 14.26 A^3/atom
total DFT energy (no corrections) = -51.86 eV for the cell shown
crystal system = tetragonal

=====

Ac2GaCu5: relaxed, GGA-PBE.

abc: 6.447 6.447 6.447
angles: 83.32 123.93 123.93
Fractional positions:
1 Cu 0.000 0.266 0.694
2 Cu 0.000 0.312 0.312
3 Cu 0.572 0.266 0.266
4 Cu 0.000 0.694 0.266
5 Cu 0.428 0.694 0.694
6 Ac 0.500 0.223 0.723
7 Ac 0.500 0.723 0.223
8 Ga 0.000 0.044 0.044

Computed properties:
SG = No. 107
V = 22.11 A^3/atom
total DFT energy (no corrections) = -32.32 eV for the cell shown
crystal system = tetragonal
formation energy from the elements = -74.8 meV/atom

=====

ZnCr: relaxed, GGA-PBE.

abc: 4.163 4.163 4.163
angles: 60.00 60.00 60.00
Fractional positions:
1 Cr 0.000 0.000 0.000
2 Cr 0.750 0.750 0.750
3 Zn 0.250 0.250 0.250
4 Zn 0.500 0.500 0.500

Computed properties:
SG = No. 227
V = 12.76 A^3/atom
total DFT energy (no corrections) = -20.56 eV for the cell shown
crystal system = cubic
formation energy from the elements = 309.0 meV/atom

=====

Tb4PtSe5: relaxed, GGA-PBE.

abc: 4.110 8.358 9.198
angles: 105.82 102.91 90.00
Fractional positions:
1 Tb 0.997 0.739 0.994
2 Tb 0.321 0.880 0.643
3 Tb 0.003 0.261 0.006
4 Tb 0.679 0.120 0.357
5 Pt 0.500 0.000 0.000
6 Se 0.837 0.664 0.674
7 Se 0.839 0.136 0.677
8 Se 0.163 0.336 0.326
9 Se 0.500 0.500 0.000
10 Se 0.161 0.864 0.323

Computed properties:
SG = No. 12
V = 29.57 A^3/atom
total DFT energy (no corrections) = -57.75 eV for the cell shown
crystal system = monoclinic

=====

Si2AsSe: relaxed, GGA-PBE.

abc: 5.357 5.247 3.007
angles: 77.82 79.78 115.50
Fractional positions:
1 As 0.500 0.500 0.000
2 Se 0.500 0.000 0.500
3 Si 0.000 0.000 0.000
4 Si 0.000 0.500 0.500

Computed properties:
SG = No. 12
V = 17.76 A^3/atom
total DFT energy (no corrections) = -16.79 eV for the cell shown
crystal system = monoclinic

=====

ZnGa8Mo2: relaxed, GGA-PBE.

abc: 4.917 6.630 6.630
angles: 78.93 82.86 82.86
Fractional positions:
1 Zn 0.000 0.000 0.000
2 Mo 0.458 0.122 0.122
3 Mo 0.542 0.878 0.878
4 Ga 0.092 0.753 0.753
5 Ga 0.236 0.805 0.342
6 Ga 0.321 0.390 0.390
7 Ga 0.908 0.247 0.247
8 Ga 0.679 0.610 0.610
9 Ga 0.764 0.195 0.658
10 Ga 0.764 0.658 0.195
11 Ga 0.236 0.342 0.805

Computed properties:
SG = No. 12
V = 19.03 A^3/atom
total DFT energy (no corrections) = -44.96 eV for the cell shown
crystal system = monoclinic
formation energy from the elements = 199.5 meV/atom

=====

PuHfTh2: relaxed, GGA-PBE.

abc: 3.428 3.428 11.161
angles: 81.17 81.17 60.00
Fractional positions:
1 Th 0.251 0.251 0.246
2 Th 0.083 0.083 0.752
3 Hf 0.669 0.669 0.994
4 Pu 0.497 0.497 0.508

Computed properties:
SG = No. 160
V = 27.94 A^3/atom
total DFT energy (no corrections) = -38.40 eV for the cell shown
crystal system = trigonal
formation energy from the elements = 180.2 meV/atom

=====

YEr3Zr: relaxed, GGA-PBE.

abc: 7.752 8.446 7.633
angles: 136.72 89.31 111.88
Fractional positions:
1 Er 0.761 0.763 0.765
2 Er 0.440 0.250 0.650
3 Er 0.853 0.252 0.469
4 Er 0.239 0.237 0.235
5 Er 0.147 0.748 0.531
6 Er 0.560 0.750 0.350
7 Zr 0.956 0.773 0.173
8 Zr 0.044 0.227 0.827
9 Y 0.336 0.743 0.954
10 Y 0.664 0.257 0.046

Computed properties:
SG = No. 2
V = 29.03 A^3/atom
total DFT energy (no corrections) = -56.75 eV for the cell shown
crystal system = triclinic
formation energy from the elements = 65.4 meV/atom

=====

Ac4Nd5Hg: relaxed, GGA-PBE.

abc: 3.852 3.852 25.053
angles: 90.00 90.00 90.00
Fractional positions:
1 Nd 0.500 0.500 0.077
2 Nd 0.500 0.500 0.500
3 Nd 0.500 0.500 0.713
4 Nd 0.500 0.500 0.287
5 Nd 0.500 0.500 0.923
6 Ac 0.000 0.000 0.394
7 Ac 0.000 0.000 0.181
8 Ac 0.000 0.000 0.606
9 Ac 0.000 0.000 0.819
10 Hg 0.000 0.000 0.000

Computed properties:
SG = No. 123
V = 37.17 A^3/atom
total DFT energy (no corrections) = -41.35 eV for the cell shown
crystal system = tetragonal
formation energy from the elements = -77.4 meV/atom

=====

KZnIn: relaxed, GGA-PBE.

abc: 5.201 5.201 5.201
angles: 60.00 60.00 60.00
Fractional positions:
1 In 0.000 0.000 0.000
2 Zn 0.750 0.750 0.750
3 K 0.500 0.500 0.500

Computed properties:
SG = No. 216
V = 33.16 A^3/atom
total DFT energy (no corrections) = -4.57 eV for the cell shown
crystal system = cubic
formation energy from the elements = 180.8 meV/atom

=====

CaErCdAu: relaxed, GGA-PBE.

abc: 3.640 3.640 7.587
angles: 90.00 90.00 90.00
Fractional positions:
1 Au 0.000 0.000 0.333
2 Er 0.500 0.500 0.131
3 Cd 0.000 0.000 0.872
4 Ca 0.500 0.500 0.592

Computed properties:
SG = No. 99
V = 25.13 A^3/atom
total DFT energy (no corrections) = -13.13 eV for the cell shown
crystal system = tetragonal
formation energy from the elements = -593.0 meV/atom

=====

Number 1: ρ 2.4 g/cm3. Number 2: ρ 9.2 g/cm3. Number 3: ρ 8.1 g/cm3. Number 4: ρ 7.9 g/cm3. Number 5: ρ 7.6 g/cm3. Number 6: ρ 6.9 g/cm3. Number 7: ρ 4.9 g/cm3. Number 8: ρ 6.5 g/cm3. Number 9: ρ 13.2 g/cm3. Number 10: ρ 7.8 g/cm3. Number 11: ρ 8.2 g/cm3. Number 12: ρ 3.7 g/cm3. Number 13: ρ 8.5 g/cm3.